Here is a relaxed structure of TlZnTc2 from Alexandria via LeMat-Bulk. Energies are from PBE.

a b c (Å): 9.7574 9.7574 9.7574
angles (deg): 17.15 17.15 17.15
Last column: nearest neighbours and their distance in Å.
Fractional coordinates of all 4 atoms:
Tl 0.0000 0.0000 0.0000  6 Tl 2.91, 3 Tc 3.07
Zn 0.2332 0.2332 0.2332  3 Tc 2.74, 6 Zn 2.91
Tc 0.4914 0.4914 0.4914  9 Tc 2.60-2.91, 3 Zn 2.74
Tc 0.7557 0.7557 0.7557  9 Tc 2.60-2.91

As for the formation energy: 357 meV/atom. Its density of states at the Fermi level is 2.709 states/eV per cell. The space group is R3m. The energy above the most stable polymorph in this dataset is 0.1369 eV/atom. Its mass density is 10.976 g/cm3.